[1]
Crystalline Hf3ScSn2C2 at its relaxed geometry. Source: OQMD, functional GGA-PBE.

Geometry as CIF:
```
data_Hf3ScSn2C2
_chemical_formula_sum 'Hf3 Sc1 Sn2 C2'
_space_group_name_H-M_alt 'P 3 m 1'
_space_group_IT_number 156
_space_group_name_Hall 'P 3 -2"'
_cell_length_a 3.3503
_cell_length_b 3.3503
_cell_length_c 14.5743
_cell_angle_alpha 90.00
_cell_angle_beta 90.00
_cell_angle_gamma 120.00
loop_
_atom_site_label
_atom_site_type_symbol
_atom_site_fract_x
_atom_site_fract_y
_atom_site_fract_z
Hf1 Hf 0.0000 0.0000 0.0000
Hf2 Hf 0.0000 0.0000 0.3330
Hf3 Hf 0.6667 0.3333 0.8333
Sc1 Sc 0.6667 0.3333 0.4999
Sn1 Sn 0.0000 0.0000 0.6673
Sn2 Sn 0.6667 0.3333 0.1667
C1 C 0.3333 0.6667 0.4137
C2 C 0.3333 0.6667 0.9164
```

Summary:
calculated density	9.9	g cm⁻³
calculated total energy	-8.5974	eV/atom

---

[2]
Crystalline Er2SiPt at its relaxed geometry. Source: OQMD, functional GGA-PBE.

Geometry as CIF:
```
data_Er2SiPt
_chemical_formula_sum 'Er4 Si2 Pt2'
_space_group_name_H-M_alt 'P 1 21/m 1'
_space_group_IT_number 11
_space_group_name_Hall '-P 2yb'
_cell_length_a 5.6725
_cell_length_b 3.9514
_cell_length_c 7.8105
_cell_angle_alpha 90.00
_cell_angle_beta 92.52
_cell_angle_gamma 90.00
loop_
_atom_site_label
_atom_site_type_symbol
_atom_site_fract_x
_atom_site_fract_y
_atom_site_fract_z
Er1 Er 0.1249 0.2500 0.3300
Er2 Er 0.3700 0.2500 0.8120
Si1 Si 0.1266 0.7500 0.0394
Pt1 Pt 0.3428 0.7500 0.5493
```

Summary:
calculated density	10.6	g cm⁻³
calculated total energy	-6.1435	eV/atom

---

[3]
Crystalline PmNdS2 at its relaxed geometry. Source: OQMD, functional GGA-PBE.

Geometry as CIF:
```
data_PmNdS2
_chemical_formula_sum 'Pm1 Nd1 S2'
_space_group_name_H-M_alt 'P 4/m m m'
_space_group_IT_number 123
_space_group_name_Hall '-P 4 2'
_cell_length_a 4.0462
_cell_length_b 4.0462
_cell_length_c 5.7241
_cell_angle_alpha 90.00
_cell_angle_beta 90.00
_cell_angle_gamma 90.00
loop_
_atom_site_label
_atom_site_type_symbol
_atom_site_fract_x
_atom_site_fract_y
_atom_site_fract_z
Pm1 Pm 0.0000 0.0000 0.0000
Nd1 Nd 0.5000 0.5000 0.5000
S1 S 0.0000 0.0000 0.5000
S2 S 0.5000 0.5000 0.0000
```

Summary:
calculated density	6.3	g cm⁻³
calculated total energy	-6.4723	eV/atom

---

[4]
Crystalline ZrCoHg2 at its relaxed geometry. Source: OQMD, functional GGA-PBE.

Geometry as CIF:
```
data_ZrCoHg2
_chemical_formula_sum 'Zr4 Co4 Hg8'
_space_group_name_H-M_alt 'F -4 3 m'
_space_group_IT_number 216
_space_group_name_Hall 'F -4 2 3'
_cell_length_a 6.6837
_cell_length_b 6.6837
_cell_length_c 6.6837
_cell_angle_alpha 90.00
_cell_angle_beta 90.00
_cell_angle_gamma 90.00
loop_
_atom_site_label
_atom_site_type_symbol
_atom_site_fract_x
_atom_site_fract_y
_atom_site_fract_z
Zr1 Zr 0.0000 0.0000 0.0000
Co1 Co 0.2500 0.2500 0.2500
Hg1 Hg 0.0000 0.0000 0.5000
Hg2 Hg 0.2500 0.2500 0.7500
```

Summary:
calculated density	12.3	g cm⁻³
calculated total energy	-3.9033	eV/atom
formation enthalpy at 0 K	0.16	eV per atom

---

[5]
Crystalline KRb2IrBr6 at its relaxed geometry. Source: OQMD, functional GGA-PBE.

Geometry as CIF:
```
data_KRb2IrBr6
_chemical_formula_sum 'K4 Rb8 Ir4 Br24'
_space_group_name_H-M_alt 'F m -3 m'
_space_group_IT_number 225
_space_group_name_Hall '-F 4 2 3'
_cell_length_a 11.2401
_cell_length_b 11.2401
_cell_length_c 11.2401
_cell_angle_alpha 90.00
_cell_angle_beta 90.00
_cell_angle_gamma 90.00
loop_
_atom_site_label
_atom_site_type_symbol
_atom_site_fract_x
_atom_site_fract_y
_atom_site_fract_z
K1 K 0.0000 0.0000 0.0000
Rb1 Rb 0.2500 0.2500 0.2500
Ir1 Ir 0.0000 0.0000 0.5000
Br1 Br 0.0000 0.0000 0.2768
```

Summary:
calculated density	4.1	g cm⁻³
calculated total energy	-3.3052	eV/atom

---

[6]
Crystalline KMgNbNi at its relaxed geometry. Source: OQMD, functional GGA-PBE.

Geometry as CIF:
```
data_KMgNbNi
_chemical_formula_sum 'K4 Mg4 Nb4 Ni4'
_space_group_name_H-M_alt 'F -4 3 m'
_space_group_IT_number 216
_space_group_name_Hall 'F -4 2 3'
_cell_length_a 6.9069
_cell_length_b 6.9069
_cell_length_c 6.9069
_cell_angle_alpha 90.00
_cell_angle_beta 90.00
_cell_angle_gamma 90.00
loop_
_atom_site_label
_atom_site_type_symbol
_atom_site_fract_x
_atom_site_fract_y
_atom_site_fract_z
K1 K 0.0000 0.0000 0.0000
Mg1 Mg 0.2500 0.2500 0.7500
Nb1 Nb 0.0000 0.0000 0.5000
Ni1 Ni 0.2500 0.2500 0.2500
```

Summary:
calculated density	4.3	g cm⁻³
calculated total energy	-3.5141	eV/atom
offset from the most stable computed form	107	meV/atom

---

[7]
Crystalline Nb3AgPb5 at its relaxed geometry. Source: OQMD, functional GGA-PBE.

Geometry as CIF:
```
data_Nb3AgPb5
_chemical_formula_sum 'Nb3 Ag1 Pb5'
_space_group_name_H-M_alt 'P 6/m m m'
_space_group_IT_number 191
_space_group_name_Hall '-P 6 2'
_cell_length_a 5.7115
_cell_length_b 5.7115
_cell_length_c 8.9018
_cell_angle_alpha 90.00
_cell_angle_beta 90.00
_cell_angle_gamma 120.00
loop_
_atom_site_label
_atom_site_type_symbol
_atom_site_fract_x
_atom_site_fract_y
_atom_site_fract_z
Nb1 Nb 0.0000 0.5000 0.0000
Ag1 Ag 0.0000 0.0000 0.5000
Pb1 Pb 0.0000 0.0000 0.0000
Pb2 Pb 0.3333 0.6667 0.2995
```

Summary:
calculated density	9.4	g cm⁻³
calculated total energy	-5.3515	eV/atom

---

[8]
Crystalline Sm2Te3 at its relaxed geometry. Source: OQMD, functional GGA-PBE.

Geometry as CIF:
```
data_Sm2Te3
_chemical_formula_sum 'Sm8 Te12'
_space_group_name_H-M_alt 'P n m a'
_space_group_IT_number 62
_space_group_name_Hall '-P 2ac 2n'
_cell_length_a 12.2197
_cell_length_b 4.3766
_cell_length_c 11.9272
_cell_angle_alpha 90.00
_cell_angle_beta 90.00
_cell_angle_gamma 90.00
loop_
_atom_site_label
_atom_site_type_symbol
_atom_site_fract_x
_atom_site_fract_y
_atom_site_fract_z
Sm1 Sm 0.0172 0.2500 0.1879
Sm2 Sm 0.1966 0.2500 0.4966
Te1 Te 0.0418 0.7500 0.3772
Te2 Te 0.1187 0.2500 0.9429
Te3 Te 0.2246 0.7500 0.6966
```

Summary:
calculated density	7.1	g cm⁻³
calculated total energy	-5.2136	eV/atom

---

[9]
Crystalline K2Zn3P4H4O12 at its relaxed geometry. Source: OQMD, functional GGA-PBE.

Geometry as CIF:
```
data_K2Zn3P4H4O12
_chemical_formula_sum 'K8 Zn12 P16 H16 O48'
_space_group_name_H-M_alt 'P 1 21/c 1'
_space_group_IT_number 14
_space_group_name_Hall '-P 2ybc'
_cell_length_a 12.2324
_cell_length_b 13.5250
_cell_length_c 8.3320
_cell_angle_alpha 90.00
_cell_angle_beta 90.12
_cell_angle_gamma 90.00
loop_
_atom_site_label
_atom_site_type_symbol
_atom_site_fract_x
_atom_site_fract_y
_atom_site_fract_z
K1 K 0.0182 0.0497 0.2241
K2 K 0.4705 0.0530 0.2548
Zn1 Zn 0.0757 0.1808 0.5694
Zn2 Zn 0.2514 0.5639 0.4349
Zn3 Zn 0.4252 0.1708 0.6207
P1 P 0.0826 0.6995 0.6375
P2 P 0.2441 0.0067 0.5561
P3 P 0.2566 0.1553 0.0607
P4 P 0.4208 0.7017 0.5857
H1 H 0.1730 0.7152 0.7397
H2 H 0.2454 0.5819 0.9670
H3 H 0.2741 0.1750 0.8968
H4 H 0.3311 0.7175 0.6884
O1 O 0.0043 0.1421 0.7675
O2 O 0.0462 0.6970 0.0850
O3 O 0.1189 0.6349 0.4957
O4 O 0.1408 0.1903 0.1013
O5 O 0.1597 0.0739 0.4730
O6 O 0.2074 0.5162 0.2273
O7 O 0.2684 0.0435 0.0903
O8 O 0.3447 0.2094 0.1589
O9 O 0.3625 0.0458 0.5461
O10 O 0.3802 0.6473 0.4342
O11 O 0.4638 0.6948 0.0457
O12 O 0.4972 0.1355 0.8234
```

Summary:
calculated density	2.9	g cm⁻³
calculated total energy	-5.7199	eV/atom

---

[10]
Crystalline BPPdO at its relaxed geometry. Source: OQMD, functional GGA-PBE.

Geometry as CIF:
```
data_BPPdO
_chemical_formula_sum 'B2 P2 Pd2 O2'
_space_group_name_H-M_alt 'P m c 21'
_space_group_IT_number 26
_space_group_name_Hall 'P 2c -2'
_cell_length_a 3.2505
_cell_length_b 6.7279
_cell_length_c 4.5367
_cell_angle_alpha 90.00
_cell_angle_beta 90.00
_cell_angle_gamma 90.00
loop_
_atom_site_label
_atom_site_type_symbol
_atom_site_fract_x
_atom_site_fract_y
_atom_site_fract_z
B1 B 0.0000 0.1042 0.0000
P1 P 0.5000 0.2800 0.9221
Pd1 Pd 0.5000 0.3802 0.4305
O1 O 0.0000 0.0682 0.3183
```

Summary:
calculated density	5.5	g cm⁻³
calculated total energy	-6.4237	eV/atom
offset from the most stable computed form	0	meV/atom

---

[11]
Crystalline HfZr3C2Se2 at its relaxed geometry. Source: OQMD, functional GGA-PBE.

Geometry as CIF:
```
data_HfZr3C2Se2
_chemical_formula_sum 'Hf1 Zr3 C2 Se2'
_space_group_name_H-M_alt 'P 3 m 1'
_space_group_IT_number 156
_space_group_name_Hall 'P 3 -2"'
_cell_length_a 3.4691
_cell_length_b 3.4691
_cell_length_c 12.6186
_cell_angle_alpha 90.00
_cell_angle_beta 90.00
_cell_angle_gamma 120.00
loop_
_atom_site_label
_atom_site_type_symbol
_atom_site_fract_x
_atom_site_fract_y
_atom_site_fract_z
Hf1 Hf 0.0000 0.0000 0.0000
Zr1 Zr 0.0000 0.0000 0.3087
Zr2 Zr 0.3333 0.6667 0.5010
Zr3 Zr 0.3333 0.6667 0.8101
C1 C 0.6667 0.3333 0.4047
C2 C 0.6667 0.3333 0.9095
Se1 Se 0.0000 0.0000 0.6557
Se2 Se 0.3333 0.6667 0.1519
```

Summary:
calculated density	8.0	g cm⁻³
calculated total energy	-8.8214	eV/atom

---

[12]
Crystalline SiBOs at its relaxed geometry. Source: OQMD, functional GGA-PBE.

Geometry as CIF:
```
data_SiBOs
_chemical_formula_sum 'Si4 B4 Os4'
_space_group_name_H-M_alt 'F -4 3 m'
_space_group_IT_number 216
_space_group_name_Hall 'F -4 2 3'
_cell_length_a 5.2083
_cell_length_b 5.2083
_cell_length_c 5.2083
_cell_angle_alpha 90.00
_cell_angle_beta 90.00
_cell_angle_gamma 90.00
loop_
_atom_site_label
_atom_site_type_symbol
_atom_site_fract_x
_atom_site_fract_y
_atom_site_fract_z
Si1 Si 0.0000 0.0000 0.0000
B1 B 0.2500 0.2500 0.7500
Os1 Os 0.0000 0.0000 0.5000
```

Summary:
calculated density	10.8	g cm⁻³
calculated total energy	-7.4565	eV/atom
offset from the most stable computed form	0	meV/atom

---

[13]
Crystalline NdUBr3N at its relaxed geometry. Source: OQMD, functional GGA-PBE.

Geometry as CIF:
```
data_NdUBr3N
_chemical_formula_sum 'Nd4 U4 Br12 N4'
_space_group_name_H-M_alt 'C 1 2/m 1'
_space_group_IT_number 12
_space_group_name_Hall '-C 2y'
_cell_length_a 17.8891
_cell_length_b 3.9179
_cell_length_c 11.5416
_cell_angle_alpha 90.00
_cell_angle_beta 123.44
_cell_angle_gamma 90.00
loop_
_atom_site_label
_atom_site_type_symbol
_atom_site_fract_x
_atom_site_fract_y
_atom_site_fract_z
Nd1 Nd 0.0795 0.0000 0.4569
U1 U 0.1323 0.5000 0.7773
Br1 Br 0.0389 0.5000 0.2334
Br2 Br 0.1658 0.0000 0.0110
Br3 Br 0.2270 0.5000 0.6253
N1 N 0.0867 0.0000 0.6756
```

Summary:
calculated density	6.3	g cm⁻³
calculated total energy	-6.4153	eV/atom

---

[14]
Crystalline Ba2Tc2O5 at its relaxed geometry. Source: OQMD, functional GGA-PBE.

Geometry as CIF:
```
data_Ba2Tc2O5
_chemical_formula_sum 'Ba2 Tc2 O5'
_space_group_name_H-M_alt 'P 4/m m m'
_space_group_IT_number 123
_space_group_name_Hall '-P 4 2'
_cell_length_a 3.5354
_cell_length_b 3.5354
_cell_length_c 11.1928
_cell_angle_alpha 90.00
_cell_angle_beta 90.00
_cell_angle_gamma 90.00
loop_
_atom_site_label
_atom_site_type_symbol
_atom_site_fract_x
_atom_site_fract_y
_atom_site_fract_z
Ba1 Ba 0.0000 0.0000 0.2458
Tc1 Tc 0.5000 0.5000 0.0000
Tc2 Tc 0.5000 0.5000 0.5000
O1 O 0.0000 0.0000 0.0000
O2 O 0.0000 0.5000 0.3997
```

Summary:
calculated density	6.5	g cm⁻³
calculated total energy	-6.4049	eV/atom
offset from the most stable computed form	859	meV/atom

---

[15]
Crystalline InNiHgAu at its relaxed geometry. Source: OQMD, functional GGA-PBE.

Geometry as CIF:
```
data_InNiHgAu
_chemical_formula_sum 'In4 Ni4 Hg4 Au4'
_space_group_name_H-M_alt 'F -4 3 m'
_space_group_IT_number 216
_space_group_name_Hall 'F -4 2 3'
_cell_length_a 6.6145
_cell_length_b 6.6145
_cell_length_c 6.6145
_cell_angle_alpha 90.00
_cell_angle_beta 90.00
_cell_angle_gamma 90.00
loop_
_atom_site_label
_atom_site_type_symbol
_atom_site_fract_x
_atom_site_fract_y
_atom_site_fract_z
In1 In 0.0000 0.0000 0.0000
Ni1 Ni 0.2500 0.2500 0.2500
Hg1 Hg 0.2500 0.2500 0.7500
Au1 Au 0.0000 0.0000 0.5000
```

Summary:
calculated density	13.1	g cm⁻³
calculated total energy	-2.7983	eV/atom

---

[16]
Crystalline PrScNb at its relaxed geometry. Source: OQMD, functional GGA-PBE.

Geometry as CIF:
```
data_PrScNb
_chemical_formula_sum 'Pr4 Sc4 Nb4'
_space_group_name_H-M_alt 'F -4 3 m'
_space_group_IT_number 216
_space_group_name_Hall 'F -4 2 3'
_cell_length_a 6.9760
_cell_length_b 6.9760
_cell_length_c 6.9760
_cell_angle_alpha 90.00
_cell_angle_beta 90.00
_cell_angle_gamma 90.00
loop_
_atom_site_label
_atom_site_type_symbol
_atom_site_fract_x
_atom_site_fract_y
_atom_site_fract_z
Pr1 Pr 0.0000 0.0000 0.0000
Sc1 Sc 0.0000 0.0000 0.5000
Nb1 Nb 0.2500 0.2500 0.2500
```

Summary:
calculated density	5.5	g cm⁻³
calculated total energy	-6.2126	eV/atom
formation enthalpy at 0 K	0.85	eV per atom
offset from the most stable computed form	0	meV/atom

---

[17]
Crystalline ErHS2O8 at its relaxed geometry. Source: OQMD, functional GGA-PBE.

Geometry as CIF:
```
data_ErHS2O8
_chemical_formula_sum 'Er4 H4 S8 O32'
_space_group_name_H-M_alt 'P 1 21/c 1'
_space_group_IT_number 14
_space_group_name_Hall '-P 2ybc'
_cell_length_a 5.3768
_cell_length_b 10.5645
_cell_length_c 10.3484
_cell_angle_alpha 90.00
_cell_angle_beta 105.07
_cell_angle_gamma 90.00
loop_
_atom_site_label
_atom_site_type_symbol
_atom_site_fract_x
_atom_site_fract_y
_atom_site_fract_z
Er1 Er 0.2383 0.1642 0.3477
H1 H 0.3538 0.5130 0.6068
S1 S 0.1798 0.6799 0.4971
S2 S 0.2891 0.0457 0.6842
O1 O 0.0093 0.1851 0.1311
O2 O 0.0414 0.0007 0.7005
O3 O 0.0672 0.7135 0.6078
O4 O 0.2594 0.5385 0.5127
O5 O 0.2773 0.0623 0.5417
O6 O 0.3694 0.1618 0.7618
O7 O 0.4049 0.7421 0.9977
O8 O 0.4975 0.5501 0.2425
```

Summary:
calculated density	4.2	g cm⁻³
calculated total energy	-6.4992	eV/atom

---

[18]
Crystalline Dy2Y3Tm3 at its relaxed geometry. Source: OQMD, functional GGA-PBE.

Geometry as CIF:
```
data_Dy2Y3Tm3
_chemical_formula_sum 'Dy2 Y3 Tm3'
_space_group_name_H-M_alt 'P -6 m 2'
_space_group_IT_number 187
_space_group_name_Hall 'P -6 2'
_cell_length_a 7.2083
_cell_length_b 7.2083
_cell_length_c 5.6026
_cell_angle_alpha 90.00
_cell_angle_beta 90.00
_cell_angle_gamma 120.00
loop_
_atom_site_label
_atom_site_type_symbol
_atom_site_fract_x
_atom_site_fract_y
_atom_site_fract_z
Dy1 Dy 0.0000 0.0000 0.0000
Dy2 Dy 0.3333 0.6667 0.5000
Y1 Y 0.5003 0.0005 0.0000
Tm1 Tm 0.3337 0.1668 0.5000
```

Summary:
calculated density	7.2	g cm⁻³
calculated total energy	-5.2486	eV/atom
formation enthalpy at 0 K	0.00	eV per atom